A plane-wave DFT calculation with PBE-GGA was carried out for Tb2Ni after structural relaxation.

Values from the calculation:
The total energy comes out at -5.1076 eV/atom.

a = 7.8583 Å, b = 7.8583 Å, c = 3.9059 Å
α = 90.00°, β = 90.00°, γ = 120.00°
Space group P-62m (No. 189)
Unique sites:
Tb: 0.0000 0.2503 0.0000
Tb: 0.0000 0.5851 0.5000
Ni: 0.0000 0.0000 0.5000
Ni: 0.3333 0.6667 0.0000

A plane-wave DFT calculation with PBE-GGA was carried out for Er2ZrS5 after structural relaxation.

Values from the calculation:
The total energy comes out at -6.6433 eV/atom.

a = 11.5407 Å, b = 7.6967 Å, c = 7.2236 Å
α = 90.00°, β = 90.00°, γ = 90.00°
Space group Pnma (No. 62)
Unique sites:
Er: 0.1795 0.0031 0.0204
Zr: 0.0064 0.7500 0.5793
S: 0.0024 0.7500 0.9519
S: 0.0967 0.0381 0.6612
S: 0.1820 0.7500 0.3292
S: 0.2093 0.2500 0.3071

A plane-wave DFT calculation with PBE-GGA was carried out for Nd2ScCu4Ge4 after structural relaxation.

Values from the calculation:
The total energy comes out at -5.0450 eV/atom.

a = 4.2998 Å, b = 6.5485 Å, c = 14.1043 Å
α = 90.00°, β = 90.00°, γ = 90.00°
Space group Immm (No. 71)
Unique sites:
Nd: 0.0000 0.0000 0.1308
Sc: 0.0000 0.5000 0.0000
Cu: 0.0000 0.1889 0.3315
Ge: 0.0000 0.2964 0.5000
Ge: 0.0000 0.5000 0.2115